Entry 1:
Computed, not measured: a geometry-optimized BaLa2In2O7 structure at the PBE level of DFT.

Output
Calculated volume, Å³/cell: 755
E_form (uncorrected), eV per atom: -2.531
E, Ry per atom: -0.50426
Size of the total moment, μB per formula unit: 0.00
DOS at the Fermi energy, states/eV/atom: 0.00

Cell: 6.004 6.004 20.961 Å, 90.00 90.00 90.00°
Fractional positions:
Ba1 0.241 0.241 0.000
Ba2 0.259 0.741 0.500
Ba3 0.741 0.259 0.500
Ba4 0.759 0.759 0.000
La1 0.223 0.223 0.186
La2 0.223 0.223 0.814
La3 0.277 0.723 0.314
La4 0.277 0.723 0.686
La5 0.723 0.277 0.314
La6 0.723 0.277 0.686
La7 0.777 0.777 0.186
La8 0.777 0.777 0.814
In1 0.241 0.241 0.398
In2 0.241 0.241 0.602
In3 0.259 0.741 0.102
In4 0.259 0.741 0.898
In5 0.741 0.259 0.102
In6 0.741 0.259 0.898
In7 0.759 0.759 0.398
In8 0.759 0.759 0.602
O1 0.000 0.000 0.091
O2 0.000 0.000 0.366
O3 0.000 0.000 0.634
O4 0.000 0.000 0.909
O5 0.000 0.500 0.115
O6 0.000 0.500 0.385
O7 0.000 0.500 0.615
O8 0.000 0.500 0.885
O9 0.182 0.818 0.211
O10 0.182 0.818 0.789
O11 0.202 0.202 0.500
O12 0.298 0.702 0.000
O13 0.318 0.318 0.289
O14 0.318 0.318 0.711
O15 0.500 0.000 0.115
O16 0.500 0.000 0.385
O17 0.500 0.000 0.615
O18 0.500 0.000 0.885
O19 0.500 0.500 0.134
O20 0.500 0.500 0.409
O21 0.500 0.500 0.591
O22 0.500 0.500 0.866
O23 0.682 0.682 0.289
O24 0.682 0.682 0.711
O25 0.702 0.298 0.000
O26 0.798 0.798 0.500
O27 0.818 0.182 0.211
O28 0.818 0.182 0.789

=====

Entry 2:
Computed, not measured: a geometry-optimized Ba2SmPbSe4 structure at the PBE level of DFT.

Output
Calculated volume, Å³/cell: 255
E_form (uncorrected), eV per atom: -1.572
E, Ry per atom: -0.35636
Size of the total moment, μB per formula unit: 0.00
DOS at the Fermi energy, states/eV/atom: 0.39

Cell: 7.774 4.449 7.817 Å, 90.00 109.10 90.00°
Fractional positions:
Ba1 0.000 0.000 0.000
Ba2 0.500 0.500 0.000
Sm1 0.000 0.500 0.500
Pb1 0.500 0.000 0.500
Se1 0.233 0.000 0.721
Se2 0.248 0.500 0.275
Se3 0.752 0.500 0.725
Se4 0.767 0.000 0.279

=====

Entry 3:
Computed, not measured: a geometry-optimized Li2NiH6 structure at the PBE level of DFT.

Output
Calculated volume, Å³/cell: 64
E, Ry per atom: -0.25859
Size of the total moment, μB per formula unit: 0.00
DOS at the Fermi energy, states/eV/atom: 0.00
E above lowest polymorph, meV/atom: 0

Cell: 4.497 4.497 4.497 Å, 60.00 60.00 60.00°
Fractional positions:
Li1 0.250 0.250 0.250
Li2 0.750 0.750 0.750
Ni1 0.000 0.000 0.000
H1 0.236 0.236 0.764
H2 0.236 0.764 0.236
H3 0.236 0.764 0.764
H4 0.764 0.236 0.236
H5 0.764 0.236 0.764
H6 0.764 0.764 0.236

=====

Entry 4:
Computed, not measured: a geometry-optimized LiNd3Se2Br6 structure at the PBE level of DFT.

Output
Calculated volume, Å³/cell: 399
E_form (uncorrected), eV per atom: -1.743
E, Ry per atom: -0.33158
Size of the total moment, μB per formula unit: 0.00
DOS at the Fermi energy, states/eV/atom: 0.00

Cell: 8.335 8.335 6.528 Å, 91.51 91.51 61.72°
Fractional positions:
Li1 0.000 0.000 0.000
Nd1 0.000 0.500 0.000
Nd2 0.500 0.000 0.000
Nd3 0.500 0.500 0.500
Se1 0.331 0.331 0.245
Se2 0.669 0.669 0.755
Br1 0.154 0.154 0.765
Br2 0.162 0.676 0.747
Br3 0.324 0.838 0.253
Br4 0.676 0.162 0.747
Br5 0.838 0.324 0.253
Br6 0.846 0.846 0.235

=====

Entry 5:
Computed, not measured: a geometry-optimized MgTa2Mn structure at the PBE level of DFT.

Output
Calculated volume, Å³/cell: 68
E, Ry per atom: -0.61283
Size of the total moment, μB per formula unit: 0.74
DOS at the Fermi energy, states/eV/atom: 0.81
Formation enthalpy at 0 K, eV per atom: 0.28

Cell: 2.893 4.326 5.586 Å, 90.00 103.63 90.00°
Fractional positions:
Mg1 0.000 0.000 0.000
Ta1 0.322 0.500 0.721
Ta2 0.648 0.000 0.467
Mn1 0.864 0.500 0.275

=====

Entry 6:
Computed, not measured: a geometry-optimized YSiNi structure at the PBE level of DFT.

Output
Calculated volume, Å³/cell: 54
E_form (uncorrected), eV per atom: -0.790
E, Ry per atom: -0.49091
Size of the total moment, μB per formula unit: 0.00
DOS at the Fermi energy, states/eV/atom: 0.91

Cell: 4.035 4.035 3.855 Å, 90.00 90.00 120.00°
Fractional positions:
Y1 0.000 0.000 0.000
Si1 0.333 0.667 0.500
Ni1 0.667 0.333 0.500

=====

Entry 7:
Computed, not measured: a geometry-optimized GePdS2 structure at the PBE level of DFT.

Output
Calculated volume, Å³/cell: 165
E_form (uncorrected), eV per atom: -0.109
E, Ry per atom: -0.33995
Size of the total moment, μB per formula unit: 0.00
DOS at the Fermi energy, states/eV/atom: 0.53

Cell: 4.443 4.928 7.524 Å, 90.00 90.05 90.00°
Fractional positions:
Ge1 0.250 0.000 0.130
Ge2 0.750 0.500 0.870
Pd1 0.249 0.052 0.639
Pd2 0.751 0.552 0.361
S1 0.250 0.710 0.872
S2 0.251 0.735 0.382
S3 0.749 0.235 0.618
S4 0.750 0.210 0.128

=====

Entry 8:
Computed, not measured: a geometry-optimized La3Pm6Dy2Tm structure at the PBE level of DFT.

Output
Calculated volume, Å³/cell: 411
E, Ry per atom: -0.34730
Size of the total moment, μB per formula unit: 0.00
DOS at the Fermi energy, states/eV/atom: 1.60
Formation enthalpy at 0 K, eV per atom: 0.02

Cell: 6.318 6.318 12.079 Å, 95.02 95.02 120.05°
Fractional positions:
La1 0.000 0.000 0.000
La2 0.333 0.667 0.000
La3 0.667 0.333 0.000
Pm1 0.086 0.419 0.257
Pm2 0.248 0.248 0.743
Pm3 0.419 0.086 0.257
Pm4 0.581 0.914 0.743
Pm5 0.752 0.752 0.257
Pm6 0.914 0.581 0.743
Dy1 0.167 0.833 0.500
Dy2 0.833 0.167 0.500
Tm1 0.500 0.500 0.500

=====

Entry 9:
Computed, not measured: a geometry-optimized FeCu2Hg structure at the PBE level of DFT.

Output
Calculated volume, Å³/cell: 58
E, Ry per atom: -0.29217
Size of the total moment, μB per formula unit: 2.72
DOS at the Fermi energy, states/eV/atom: 0.64
E above lowest polymorph, meV/atom: 2
Formation enthalpy at 0 K, eV per atom: 0.26

Cell: 2.930 2.905 6.769 Å, 90.00 90.37 90.00°
Fractional positions:
Fe1 0.000 0.000 0.000
Cu1 0.003 0.000 0.425
Cu2 0.502 0.500 0.216
Hg1 0.500 0.500 0.710

=====

Entry 10:
Computed, not measured: a geometry-optimized ZrInAs2Br structure at the PBE level of DFT.

Output
Calculated volume, Å³/cell: 140
E_form (uncorrected), eV per atom: 0.642
E, Ry per atom: -0.28003
Size of the total moment, μB per formula unit: 0.69
DOS at the Fermi energy, states/eV/atom: 0.90
E above lowest polymorph, meV/atom: 870

Cell: 5.153 5.153 5.255 Å, 90.00 90.00 90.00°
Fractional positions:
Zr1 0.000 0.000 0.000
In1 0.500 0.500 0.500
As1 0.000 0.500 0.500
As2 0.500 0.000 0.500
Br1 0.500 0.500 0.000

=====

Entry 11:
Computed, not measured: a geometry-optimized KLaNd2S4 structure at the PBE level of DFT.

Output
Calculated volume, Å³/cell: 205
E_form (uncorrected), eV per atom: -1.938
E, Ry per atom: -0.43710
Size of the total moment, μB per formula unit: 0.00
DOS at the Fermi energy, states/eV/atom: 0.34

Cell: 7.194 4.122 7.297 Å, 90.00 108.81 90.00°
Fractional positions:
K1 0.000 0.000 0.000
La1 0.500 0.500 0.000
Nd1 0.000 0.500 0.500
Nd2 0.500 0.000 0.500
S1 0.253 0.000 0.741
S2 0.265 0.500 0.268
S3 0.735 0.500 0.732
S4 0.747 0.000 0.259

=====

Entry 12:
Computed, not measured: a geometry-optimized Mn3AgN structure at the PBE level of DFT.

Output
Calculated volume, Å³/cell: 119
E_form (uncorrected), eV per atom: 2.069
E, Ry per atom: -0.41656
Size of the total moment, μB per formula unit: 11.68
DOS at the Fermi energy, states/eV/atom: 0.66
E above lowest polymorph, meV/atom: 2131

Cell: 4.916 4.916 4.916 Å, 90.00 90.00 90.00°
Fractional positions:
Mn1 0.000 0.000 0.500
Mn2 0.000 0.500 0.000
Mn3 0.500 0.000 0.000
Ag1 0.000 0.000 0.000
N1 0.500 0.500 0.500

=====

Entry 13:
Computed, not measured: a geometry-optimized CaCrW2 structure at the PBE level of DFT.

Output
Calculated volume, Å³/cell: 77
E, Ry per atom: -0.63644
Size of the total moment, μB per formula unit: 0.00
DOS at the Fermi energy, states/eV/atom: 0.78
E above lowest polymorph, meV/atom: 96
Formation enthalpy at 0 K, eV per atom: 0.72

Cell: 2.968 3.674 7.073 Å, 90.00 96.66 90.00°
Fractional positions:
Ca1 0.000 0.000 0.000
Cr1 0.000 0.000 0.500
W1 0.425 0.500 0.670
W2 0.575 0.500 0.330

=====

Entry 14:
Computed, not measured: a geometry-optimized Y3ScIn structure at the PBE level of DFT.

Output
Calculated volume, Å³/cell: 185
E, Ry per atom: -0.38357
Size of the total moment, μB per formula unit: 0.83
DOS at the Fermi energy, states/eV/atom: 2.03
E above lowest polymorph, meV/atom: 658
Formation enthalpy at 0 K, eV per atom: 0.47

Cell: 5.697 5.697 5.697 Å, 90.00 90.00 90.00°
Fractional positions:
Y1 0.000 0.000 0.500
Y2 0.000 0.500 0.000
Y3 0.500 0.000 0.000
Sc1 0.500 0.500 0.500
In1 0.000 0.000 0.000

=====

Entry 15:
Computed, not measured: a geometry-optimized Ca4YHg5 structure at the PBE level of DFT.

Output
Calculated volume, Å³/cell: 269
E, Ry per atom: -0.15763
Size of the total moment, μB per formula unit: 0.00
DOS at the Fermi energy, states/eV/atom: 0.64
Formation enthalpy at 0 K, eV per atom: -0.55

Cell: 3.774 3.774 18.879 Å, 90.00 90.00 90.00°
Fractional positions:
Ca1 0.000 0.000 0.101
Ca2 0.000 0.000 0.302
Ca3 0.000 0.000 0.698
Ca4 0.000 0.000 0.899
Y1 0.000 0.000 0.500
Hg1 0.500 0.500 0.000
Hg2 0.500 0.500 0.201
Hg3 0.500 0.500 0.405
Hg4 0.500 0.500 0.595
Hg5 0.500 0.500 0.799

=====

Entry 16:
Computed, not measured: a geometry-optimized PuCrN2 structure at the PBE level of DFT.

Output
Calculated volume, Å³/cell: 46
E_form (uncorrected), eV per atom: -0.759
E, Ry per atom: -0.80193
Size of the total moment, μB per formula unit: 6.40
DOS at the Fermi energy, states/eV/atom: 1.87

Cell: 5.400 5.400 5.400 Å, 34.79 34.79 34.79°
Fractional positions:
Pu1 0.000 0.000 0.000
Cr1 0.500 0.500 0.500
N1 0.237 0.237 0.237
N2 0.763 0.763 0.763

=====

Entry 17:
Computed, not measured: a geometry-optimized YHgW3 structure at the PBE level of DFT.

Output
Calculated volume, Å³/cell: 124
E, Ry per atom: -0.48760
Size of the total moment, μB per formula unit: 0.00
DOS at the Fermi energy, states/eV/atom: 1.95
E above lowest polymorph, meV/atom: 0
Formation enthalpy at 0 K, eV per atom: 2.49

Cell: 4.983 4.983 4.983 Å, 90.00 90.00 90.00°
Fractional positions:
Y1 0.000 0.000 0.000
Hg1 0.500 0.500 0.500
W1 0.000 0.500 0.500
W2 0.500 0.000 0.500
W3 0.500 0.500 0.000

=====

Entry 18:
Computed, not measured: a geometry-optimized Pm5Y2Tm12 structure at the PBE level of DFT.

Output
Calculated volume, Å³/cell: 629
E, Ry per atom: -0.32909
Size of the total moment, μB per formula unit: 0.00
DOS at the Fermi energy, states/eV/atom: 1.33
E above lowest polymorph, meV/atom: 252
Formation enthalpy at 0 K, eV per atom: 0.28

Cell: 9.166 9.166 10.754 Å, 99.59 99.59 45.06°
Fractional positions:
Pm1 0.000 0.000 0.000
Pm2 0.225 0.225 0.499
Pm3 0.253 0.253 0.989
Pm4 0.747 0.747 0.011
Pm5 0.775 0.775 0.501
Y1 0.268 0.732 0.500
Y2 0.732 0.268 0.500
Tm1 0.028 0.028 0.742
Tm2 0.093 0.556 0.274
Tm3 0.120 0.613 0.769
Tm4 0.387 0.880 0.231
Tm5 0.444 0.907 0.726
Tm6 0.461 0.461 0.145
Tm7 0.539 0.539 0.855
Tm8 0.556 0.093 0.274
Tm9 0.613 0.120 0.769
Tm10 0.880 0.387 0.231
Tm11 0.907 0.444 0.726
Tm12 0.972 0.972 0.258

=====

Entry 19:
Computed, not measured: a geometry-optimized Ba3LaGe structure at the PBE level of DFT.

Output
Calculated volume, Å³/cell: 244
E, Ry per atom: -0.16968
Size of the total moment, μB per formula unit: 0.01
DOS at the Fermi energy, states/eV/atom: 1.79
Formation enthalpy at 0 K, eV per atom: 0.75

Cell: 6.251 6.251 6.251 Å, 90.00 90.00 90.00°
Fractional positions:
Ba1 0.000 0.000 0.500
Ba2 0.000 0.500 0.000
Ba3 0.500 0.000 0.000
La1 0.000 0.000 0.000
Ge1 0.500 0.500 0.500

=====

Entry 20:
Computed, not measured: a geometry-optimized NdCdIr structure at the PBE level of DFT.

Output
Calculated volume, Å³/cell: 77
E, Ry per atom: -0.38169
Size of the total moment, μB per formula unit: 0.00
DOS at the Fermi energy, states/eV/atom: 0.25
Formation enthalpy at 0 K, eV per atom: -0.35

Cell: 4.775 4.775 4.775 Å, 60.00 60.00 60.00°
Fractional positions:
Nd1 0.000 0.000 0.000
Cd1 0.500 0.500 0.500
Ir1 0.750 0.750 0.750

=====

Entry 21:
Computed, not measured: a geometry-optimized NbAlRh2 structure at the PBE level of DFT.

Output
Calculated volume, Å³/cell: 59
E, Ry per atom: -0.58103
Size of the total moment, μB per formula unit: 0.00
DOS at the Fermi energy, states/eV/atom: 0.89
Formation enthalpy at 0 K, eV per atom: -0.78

Cell: 2.909 2.909 6.986 Å, 90.00 90.00 90.00°
Fractional positions:
Nb1 0.000 0.000 0.000
Al1 0.000 0.000 0.500
Rh1 0.500 0.500 0.277
Rh2 0.500 0.500 0.723

=====

Entry 22:
Computed, not measured: a geometry-optimized Tb2Y4In structure at the PBE level of DFT.

Output
Calculated volume, Å³/cell: 433
E, Ry per atom: -0.40052
Size of the total moment, μB per formula unit: 0.00
DOS at the Fermi energy, states/eV/atom: 1.48
Formation enthalpy at 0 K, eV per atom: -0.04

Cell: 5.694 6.728 11.622 Å, 90.00 103.45 90.00°
Fractional positions:
Tb1 0.029 0.250 0.476
Tb2 0.324 0.750 0.074
Tb3 0.676 0.250 0.926
Tb4 0.971 0.750 0.524
Y1 0.160 0.007 0.787
Y2 0.160 0.493 0.787
Y3 0.233 0.250 0.069
Y4 0.400 0.750 0.372
Y5 0.600 0.250 0.628
Y6 0.767 0.750 0.931
Y7 0.840 0.507 0.213
Y8 0.840 0.993 0.213
In1 0.457 0.250 0.340
In2 0.543 0.750 0.660

=====

Entry 23:
Computed, not measured: a geometry-optimized ZrU2Se6 structure at the PBE level of DFT.

Output
Calculated volume, Å³/cell: 458
E_form (uncorrected), eV per atom: -1.155
E, Ry per atom: -0.50980
Size of the total moment, μB per formula unit: 4.00
DOS at the Fermi energy, states/eV/atom: 1.56
E above lowest polymorph, meV/atom: 30

Cell: 6.577 7.133 11.160 Å, 90.00 118.94 90.00°
Fractional positions:
Zr1 0.000 0.000 0.000
Zr2 0.000 0.500 0.500
U1 0.336 0.120 0.780
U2 0.336 0.380 0.280
U3 0.664 0.620 0.720
U4 0.664 0.880 0.220
Se1 0.074 0.058 0.254
Se2 0.074 0.442 0.754
Se3 0.247 0.675 0.082
Se4 0.247 0.825 0.582
Se5 0.387 0.194 0.059
Se6 0.387 0.306 0.559
Se7 0.613 0.694 0.441
Se8 0.613 0.806 0.941
Se9 0.753 0.175 0.418
Se10 0.753 0.325 0.918
Se11 0.926 0.558 0.246
Se12 0.926 0.942 0.746